No. 1
A relaxed structure of InGaRuO6. Source: the Alexandria database, functional GGA-PBE.

* total magnetization: 1.92 μB/f.u.
* Fermi-level density of states: 8.4 states/eV/cell
* volume: 11.68 Å³ per atom
* energy relative to the elements, uncorrected: -117 kJ/mol of atoms

Cell: 5.1399 5.1399 9.1859 Å, 90.00 90.00 120.00°
With the nearest neighbours (Å) after each atom.
Fractional positions:
In1 0.0000 0.0000 0.0000  6 O 2.21
In2 0.0000 0.0000 0.5000  6 O 2.21
Ga1 0.6667 0.3333 0.2500  6 O 1.99
Ga2 0.3333 0.6667 0.7500  6 O 1.99
Ru1 0.3333 0.6667 0.2500  6 O 1.94
Ru2 0.6667 0.3333 0.7500  6 O 1.94
O1 0.6392 0.6466 0.1346  1 Ru 1.94, 1 Ga 1.99
O2 0.0074 0.3608 0.1346  1 Ru 1.94, 1 Ga 1.99
O3 0.3608 0.0074 0.6346  1 Ru 1.94, 1 Ga 1.99
O4 0.9926 0.6392 0.8654  1 Ru 1.94, 1 Ga 1.99
O5 0.3534 0.3608 0.3654  1 Ru 1.94, 1 Ga 1.99
O6 0.0074 0.6466 0.3654  1 Ru 1.94, 1 Ga 1.99
O7 0.6466 0.0074 0.8654  1 Ru 1.94, 1 Ga 1.99
O8 0.6392 0.9926 0.3654  1 Ru 1.94, 1 Ga 1.99
O9 0.9926 0.3534 0.6346  1 Ru 1.94, 1 Ga 1.99
O10 0.3534 0.9926 0.1346  1 Ru 1.94, 1 Ga 1.99
O11 0.6466 0.6392 0.6346  1 Ru 1.94, 1 Ga 1.99
O12 0.3608 0.3534 0.8654  1 Ru 1.94, 1 Ga 1.99

***

No. 2
A relaxed structure of Sr2AcNpO6. Source: the Alexandria database, functional GGA-PBE.

* total magnetization: 2.00 μB/f.u.
* Fermi-level density of states: 16.5 states/eV/cell
* volume: 17.06 Å³ per atom
* energy relative to the elements, uncorrected: -295 kJ/mol of atoms

Cell: 6.1049 6.3379 8.8188 Å, 90.00 90.20 90.00°
With the nearest neighbours (Å) after each atom.
Fractional positions:
Sr1 0.0132 0.9525 0.2552  4 O 2.51-2.61
Sr2 0.5132 0.5475 0.7552  4 O 2.51-2.61
Sr3 0.9868 0.0475 0.7448  4 O 2.51-2.61
Sr4 0.4868 0.4525 0.2448  4 O 2.51-2.61
Ac1 0.5000 0.0000 0.0000  6 O 2.47-2.52
Ac2 0.0000 0.5000 0.5000  6 O 2.47-2.52
Np1 0.5000 0.0000 0.5000  6 O 2.13-2.19
Np2 0.0000 0.5000 0.0000  6 O 2.13-2.19
O1 0.2850 0.6778 0.0538  1 Np 2.13
O2 0.7850 0.8222 0.5538  1 Np 2.13
O3 0.7150 0.3222 0.9462  1 Np 2.13
O4 0.2150 0.1778 0.4462  1 Np 2.13
O5 0.3219 0.7188 0.4250  1 Np 2.19
O6 0.8219 0.7812 0.9250  1 Np 2.19
O7 0.6781 0.2812 0.5750  1 Np 2.19
O8 0.1781 0.2188 0.0750  1 Np 2.19
O9 0.8809 0.5618 0.2296  1 Np 2.19
O10 0.3809 0.9382 0.7296  1 Np 2.19
O11 0.1191 0.4382 0.7704  1 Np 2.19
O12 0.6191 0.0618 0.2704  1 Np 2.19

***

No. 3
A relaxed structure of MgCrCu. Source: the Alexandria database, functional GGA-PBE.

* total magnetization: 4.22 μB/f.u.
* ΔH_f (0 K): 0.51 eV per atom
* Fermi-level density of states: 1.3 states/eV/cell
* volume: 18.68 Å³ per atom
* energy above the lowest structure with this stoichiometry: 216 meV/atom

Cell: 4.2953 4.2953 4.2953 Å, 60.00 60.00 60.00°
With the nearest neighbours (Å) after each atom.
Fractional positions:
Cr1 0.5000 0.5000 0.5000  4 Cu 2.63
Cu1 0.7500 0.7500 0.7500  4 Mg 2.63, 4 Cr 2.63
Mg1 0.0000 0.0000 0.0000  4 Cu 2.63

***

No. 4
A relaxed structure of La3Y2Bi3. Source: the Alexandria database, functional GGA-PBE.

* total magnetization: 0.64 μB/f.u.
* ΔH_f (0 K): -0.78 eV per atom
* Fermi-level density of states: 19.8 states/eV/cell
* volume: 32.46 Å³ per atom

Cell: 6.6450 9.5002 9.5002 Å, 120.00 90.00 90.00°
With the nearest neighbours (Å) after each atom.
Fractional positions:
La1 0.7500 0.2471 0.0000  5 Bi 3.28-3.60
La2 0.7500 0.7529 0.7529  5 Bi 3.28-3.60
La3 0.7500 0.0000 0.2471  5 Bi 3.28-3.60
La4 0.2500 0.7529 0.0000  5 Bi 3.28-3.60
La5 0.2500 0.2471 0.2471  5 Bi 3.28-3.60
La6 0.2500 0.0000 0.7529  5 Bi 3.28-3.60
Y1 0.0000 0.3333 0.6667  2 Y 3.32, 6 Bi 3.36
Y2 0.5000 0.6667 0.3333  2 Y 3.32, 6 Bi 3.36
Y3 0.0000 0.6667 0.3333  2 Y 3.32, 6 Bi 3.36
Y4 0.5000 0.3333 0.6667  2 Y 3.32, 6 Bi 3.36
Bi1 0.7500 0.6060 0.0000  5 La 3.28-3.60, 4 Y 3.36
Bi2 0.7500 0.3940 0.3940  5 La 3.28-3.60, 4 Y 3.36
Bi3 0.7500 0.0000 0.6060  5 La 3.28-3.60, 4 Y 3.36
Bi4 0.2500 0.3940 0.0000  5 La 3.28-3.60, 4 Y 3.36
Bi5 0.2500 0.6060 0.6060  5 La 3.28-3.60, 4 Y 3.36
Bi6 0.2500 0.0000 0.3940  5 La 3.28-3.60, 4 Y 3.36

***

No. 5
A relaxed structure of TaTlPd2. Source: the Alexandria database, functional GGA-PBE.

* total magnetization: 0.00 μB/f.u.
* ΔH_f (0 K): -0.03 eV per atom
* Fermi-level density of states: 1.9 states/eV/cell
* volume: 17.61 Å³ per atom
* energy above the lowest structure with this stoichiometry: 0 meV/atom

Cell: 4.6356 4.6356 4.6356 Å, 60.00 60.00 60.00°
With the nearest neighbours (Å) after each atom.
Fractional positions:
Tl1 0.5000 0.5000 0.5000  8 Pd 2.84
Pd1 0.2500 0.2500 0.2500  4 Tl 2.84, 4 Ta 2.84
Pd2 0.7500 0.7500 0.7500  4 Tl 2.84, 4 Ta 2.84
Ta1 0.0000 0.0000 0.0000  8 Pd 2.84

***

No. 6
A relaxed structure of Co3HgGe. Source: the Alexandria database, functional GGA-PBE.

* total magnetization: 3.39 μB/f.u.
* ΔH_f (0 K): 0.77 eV per atom
* Fermi-level density of states: 7.6 states/eV/cell
* volume: 16.57 Å³ per atom
* energy above the lowest structure with this stoichiometry: 0 meV/atom

Cell: 4.3597 4.3597 4.3597 Å, 90.00 90.00 90.00°
With the nearest neighbours (Å) after each atom.
Fractional positions:
Ge1 0.0000 0.0000 0.0000  6 Co 2.18
Co1 0.0000 0.5000 0.0000  2 Ge 2.18
Co2 0.0000 0.0000 0.5000  2 Ge 2.18
Co3 0.5000 0.0000 0.0000  2 Ge 2.18
Hg1 0.5000 0.5000 0.5000  12 Co 3.08

***

No. 7
A relaxed structure of PuBiSe. Source: the Alexandria database, functional GGA-PBE.

* total magnetization: 5.41 μB/f.u.
* Fermi-level density of states: 10.4 states/eV/cell
* volume: 27.91 Å³ per atom
* energy relative to the elements, uncorrected: -67 kJ/mol of atoms

Cell: 3.7438 3.7438 6.5335 Å, 106.65 106.65 90.00°
With the nearest neighbours (Å) after each atom.
Fractional positions:
Bi1 0.0049 0.0049 0.0097  5 Se 3.45-3.66, 5 Pu 3.54-3.63, 4 Bi 3.74
Se1 0.2938 0.2938 0.5876  4 Pu 2.87
Pu1 0.7013 0.7013 0.4027  4 Se 2.87

***

No. 8
A relaxed structure of Pm4TcTe. Source: the Alexandria database, functional GGA-PBE.

* total magnetization: 0.00 μB/f.u.
* Fermi-level density of states: 9.6 states/eV/cell
* volume: 30.11 Å³ per atom
* energy relative to the elements, uncorrected: -44 kJ/mol of atoms

Cell: 6.4910 7.9671 7.9671 Å, 113.49 99.24 99.24°
With the nearest neighbours (Å) after each atom.
Fractional positions:
Pm1 0.9038 0.6432 0.7934  2 Tc 2.98-3.08, 1 Te 3.23
Pm2 0.0500 0.9347 0.2763  2 Tc 2.91-2.95
Pm3 0.5962 0.2066 0.3568  2 Tc 2.98-3.08, 1 Te 3.23
Pm4 0.4500 0.7237 0.0653  2 Tc 2.91-2.95
Pm5 0.5500 0.2763 0.9347  2 Tc 2.91-2.95
Pm6 0.4038 0.7934 0.6432  2 Tc 2.98-3.08, 1 Te 3.23
Pm7 0.9500 0.0653 0.7237  2 Tc 2.91-2.95
Pm8 0.0962 0.3568 0.2066  2 Tc 2.98-3.08, 1 Te 3.23
Tc1 0.2500 0.0008 0.9992  8 Pm 2.91-3.08, 2 Tc 3.25
Tc2 0.7500 0.9992 0.0008  8 Pm 2.91-3.08, 2 Tc 3.25
Te1 0.7500 0.6220 0.3780  8 Pm 3.23-3.40
Te2 0.2500 0.3780 0.6220  8 Pm 3.23-3.40